ZrTeI2O at its PBEsol-relaxed geometry, computed with SCAN.

Lattice parameters (Å, degrees): 3.9594 5.9931 5.9931 90.00 90.00 90.00
Last column: nearest neighbours and their distance in Å.
Fractional coordinates of all 5 atoms:
Te1 0.0000 0.0000 0.0000  2 O 1.98
I1 0.0000 0.5000 0.0000  2 Te 3.00
I2 0.0000 0.0000 0.5000  2 Te 3.00
O1 0.5000 0.0000 0.0000  2 Te 1.98
Zr1 0.5000 0.5000 0.5000  8 I 3.59, 2 Zr 3.96

Properties
Fermi-level density of states, states/eV per atom: 0.58
Calculated total energy, eV/atom: -29.345
SG: P4/mmm, No. 123